1.
# Zn2PbCl6

A relaxed structure of Zn2PbCl6 (PBE-GGA, Alexandria via LeMat-Bulk).

The space group is C2/c (No. 15) and the conventional cell measures 13.197, 12.344 and 6.813 Å, with angles of 90.00, 102.66 and 90.00 degrees. The asymmetric unit holds Zn at (0.197, 0.075, 0.285), Pb at (0.000, 0.372, 0.250), Cl at (0.123, 0.424, 0.654), Cl at (0.133, 0.228, 0.116) and Cl at (0.141, 0.073, 0.582).

The value obtained for the raw formation energy is -1133 meV per atom. The calculation puts the total magnetization at 0.00 μB/cell. For the volume, the calculation gives 1083 Å³/cell. The value obtained for the calculated density is 3.378 Mg/m³. Its density of states at the Fermi level is 0.00 states/eV per cell.

2.
# ZnPb2Cl

A relaxed structure of ZnPb2Cl (PBE-GGA, Alexandria via LeMat-Bulk).

The space group is P4mm (No. 99) and the conventional cell measures 3.782, 3.782 and 7.856 Å, with angles of 90.00, 90.00 and 90.00 degrees. The asymmetric unit holds Zn at (0.000, 0.000, 0.000), Pb at (0.000, 0.000, 0.532), Pb at (0.500, 0.500, 0.841) and Cl at (0.500, 0.500, 0.324).

The value obtained for the raw formation energy is -116 meV per atom. The calculation puts the total magnetization at 0.00 μB/cell. For the volume, the calculation gives 112 Å³/cell. The value obtained for the calculated density is 7.614 Mg/m³. Its density of states at the Fermi level is 1.06 states/eV per cell. The calculation puts the polymorph energy (0 for the lowest one) at 0.37 eV per formula unit.

3.
# Zn2PbCl

A relaxed structure of Zn2PbCl (PBE-GGA, Alexandria via LeMat-Bulk).

The space group is Pmmm (No. 47) and the conventional cell measures 3.312, 4.988 and 5.682 Å, with angles of 90.00, 90.00 and 90.00 degrees. The asymmetric unit holds Zn at (0.000, 0.000, 0.000), Zn at (0.500, 0.500, 0.000), Pb at (0.000, 0.500, 0.500) and Cl at (0.500, 0.000, 0.500).

The value obtained for the raw formation energy is -57 meV per atom. The calculation puts the total magnetization at 0.00 μB/cell. For the volume, the calculation gives 94 Å³/cell. The value obtained for the calculated density is 6.606 Mg/m³. Its density of states at the Fermi level is 1.55 states/eV per cell. The calculation puts the polymorph energy (0 for the lowest one) at 0.61 eV per formula unit.

raw formation energy of number 1 (Zn2PbCl6)?
-1133 meV per atom